Compound: PuAgWO6
Source: Alexandria via LeMat-Bulk
Functional: PBE+U
Structure: optimized geometry

Cell: 5.561 5.561 9.923 Å, 90.00 90.00 120.00°
Each line ends with the local moment (μB).
Element x y z (fractional)
O  0.975  0.616  0.358  -0.07
O  0.641  0.616  0.142  -0.07
O  0.616  0.975  0.858  -0.07
O  0.359  0.975  0.642  -0.07
O  0.975  0.359  0.142  -0.07
O  0.025  0.641  0.858  -0.07
O  0.616  0.641  0.642  -0.07
O  0.384  0.359  0.358  -0.07
O  0.641  0.025  0.358  -0.07
O  0.025  0.384  0.642  -0.07
O  0.359  0.384  0.858  -0.07
O  0.384  0.025  0.142  -0.07
Ag  0.000  0.000  0.000  -0.06
Ag  0.000  0.000  0.500  -0.06
Pu  0.333  0.667  0.250  3.42
Pu  0.667  0.333  0.750  3.42
W  0.333  0.667  0.750  0.09
W  0.667  0.333  0.250  0.09

Its volume is 14.764 Å³ per atom. For the electronic total energy, the calculation gives -142.4 eV for the cell shown.